Entry one
The following is a DFT calculation (SCAN) of a crystal of YZr relaxed with PBEsol.

Computed properties:
As for the total magnetic moment: 0.00 μB/cell.

a b c (Å): 5.1060 5.2495 5.2495
angles (deg): 120.00 90.00 90.00
Fractional positions:
Y1 0.2500 0.3333 0.6667
Y2 0.7500 0.6667 0.3333
Zr1 0.5000 0.0000 0.0000
Zr2 0.0000 0.0000 0.0000


Entry two
The following is a DFT calculation (SCAN) of a crystal of YZr relaxed with PBEsol.

Computed properties:
As for the total magnetic moment: 0.00 μB/cell.

a b c (Å): 3.3295 5.2710 5.9213
angles (deg): 90.00 90.00 90.00
Fractional positions:
Y1 0.0000 0.7500 0.6642
Y2 0.0000 0.2500 0.3358
Zr1 0.5000 0.2500 0.8635
Zr2 0.5000 0.7500 0.1365


Entry three
The following is a DFT calculation (SCAN) of a crystal of YZr relaxed with PBEsol.

Computed properties:
As for the total magnetic moment: 0.00 μB/cell.

a b c (Å): 3.3402 5.1221 6.3758
angles (deg): 90.00 105.19 90.00
Fractional positions:
Y1 0.6741 0.7500 0.3483
Y2 0.3259 0.2500 0.6517
Zr1 0.9475 0.7500 0.8949
Zr2 0.0525 0.2500 0.1051


So which one is most stable? That would be entry three, about 46 meV/atom below the next structure.


Entry one
The following is a DFT calculation (SCAN) of a crystal of Zr5Zn3 relaxed with PBEsol.

Computed properties:
As for the total magnetic moment: 0.01 μB/cell.

a b c (Å): 3.9107 4.2957 8.9224
angles (deg): 90.00 90.00 90.00
Fractional positions:
Zn1 0.0000 0.0000 0.7494
Zn2 0.0000 0.0000 0.2506
Zn3 0.0000 0.5000 0.5000
Zr1 0.5000 0.0000 0.5000
Zr2 0.5000 0.5000 0.2624
Zr3 0.5000 0.5000 0.7376
Zr4 0.0000 0.5000 0.0000
Zr5 0.5000 0.0000 0.0000


Entry two
The following is a DFT calculation (SCAN) of a crystal of Zr5Zn3 relaxed with PBEsol.

Computed properties:
As for the total magnetic moment: 0.00 μB/cell.

a b c (Å): 5.2213 8.1968 8.1968
angles (deg): 120.00 90.00 90.00
Fractional positions:
Zr1 0.5000 0.6667 0.3333
Zr2 0.7500 0.7616 0.7616
Zr3 0.5000 0.3333 0.6667
Zr4 0.2500 0.2384 0.2384
Zr5 0.0000 0.6667 0.3333
Zr6 0.2500 0.0000 0.7616
Zr7 0.0000 0.3333 0.6667
Zr8 0.7500 0.2384 0.0000
Zr9 0.2500 0.7616 0.0000
Zr10 0.7500 0.0000 0.2384
Zn1 0.7500 0.3980 0.3980
Zn2 0.2500 0.0000 0.3980
Zn3 0.7500 0.0000 0.6020
Zn4 0.2500 0.6020 0.6020
Zn5 0.7500 0.6020 0.0000
Zn6 0.2500 0.3980 0.0000


So which one is most stable? That would be entry two, about 46 meV/atom below the next structure.


Entry one
The following is a DFT calculation (SCAN) of a crystal of Zr5Zn3 relaxed with PBEsol.

Computed properties:
As for the total magnetic moment: 0.00 μB/cell.

a b c (Å): 4.3933 5.8808 5.8808
angles (deg): 96.77 90.00 90.00
Fractional positions:
Zr1 0.0000 0.5000 0.0000
Zr2 0.5000 0.2682 0.2682
Zr3 0.0000 0.0000 0.0000
Zr4 0.5000 0.7318 0.7318
Zr5 0.0000 0.0000 0.5000
Zn1 0.5000 0.2362 0.7638
Zn2 0.5000 0.7638 0.2362
Zn3 0.0000 0.5000 0.5000


Entry two
The following is a DFT calculation (SCAN) of a crystal of Zr5Zn3 relaxed with PBEsol.

Computed properties:
As for the total magnetic moment: 0.00 μB/cell.

a b c (Å): 5.7176 5.5893 5.6095
angles (deg): 92.64 120.46 96.10
Fractional positions:
Zn1 0.4279 0.7341 0.9940
Zn2 0.1042 0.3004 0.6237
Zn3 0.0558 0.9476 0.9738
Zr1 0.6409 0.5640 0.7087
Zr2 0.1521 0.4290 0.1486
Zr3 0.6207 0.2209 0.0985
Zr4 0.9709 0.7733 0.4344
Zr5 0.5276 0.0308 0.5182


So which one is most stable? That would be entry one, about 16 meV/atom below the next structure.


Entry one
The following is a DFT calculation (SCAN) of a crystal of Zr5Zn3 relaxed with PBEsol.

Computed properties:
As for the total magnetic moment: 5.35 μB/cell.

a b c (Å): 5.1850 8.0683 8.0683
angles (deg): 84.07 71.26 71.26
Last column: magnetic moment on the atom in μB.
Fractional positions:
Zr1 0.4196 0.8598 0.3010  0.39
Zr2 0.7206 0.6990 0.8598  0.39
Zr3 0.2794 0.3010 0.1402  0.39
Zr4 0.2500 0.5000 0.5000  -0.01
Zr5 0.7794 0.1402 0.3010  0.39
Zr6 0.7500 0.5000 0.5000  -0.01
Zr7 0.9196 0.3010 0.8598  0.39
Zr8 0.0804 0.6990 0.1402  0.39
Zr9 0.5804 0.1402 0.6990  0.39
Zr10 0.2206 0.8598 0.6990  0.39
Zn1 0.2500 0.0000 0.0000  0.02
Zn2 0.3359 0.5000 0.8281  0.01
Zn3 0.1641 0.1719 0.5000  0.01
Zn4 0.6641 0.5000 0.1719  0.01
Zn5 0.7500 0.0000 0.0000  0.02
Zn6 0.8359 0.8281 0.5000  0.01


Entry two
The following is a DFT calculation (SCAN) of a crystal of Zr5Zn3 relaxed with PBEsol.

Computed properties:
As for the total magnetic moment: 0.00 μB/cell.

a b c (Å): 3.2602 3.2602 14.4174
angles (deg): 90.00 90.00 90.00
Fractional positions:
Zn1 0.0000 0.0000 0.8833
Zn2 0.0000 0.0000 0.1167
Zn3 0.5000 0.5000 0.5000
Zr1 0.5000 0.5000 0.7637
Zr2 0.5000 0.5000 0.0000
Zr3 0.0000 0.0000 0.6200
Zr4 0.0000 0.0000 0.3800
Zr5 0.5000 0.5000 0.2363


So which one is most stable? That would be entry two, about 9 meV/atom below the next structure.